Ta4Mn2Si5, relaxed, DFT GGA-PBE; formation energy without anion corrections = -0.49 eV per atom; space-group type = No. 72; volume = 14.3 Å³ per atom; total DFT energy (no corrections) = -8.9297 eV/atom; magnetic moment = 7.66 μB/cell
1.0
-3.949 8.034 2.487
3.949 -8.034 2.487
3.949 8.034 -2.487
Ta Mn Si
8 4 10
Direct
0.064 0.744 0.808 Ta
0.142 0.109 0.251 Ta
0.358 0.609 0.967 Ta
0.436 0.244 0.681 Ta
0.564 0.756 0.319 Ta
0.642 0.391 0.033 Ta
0.858 0.891 0.749 Ta
0.936 0.256 0.192 Ta
0.055 0.750 0.305 Mn
0.445 0.750 0.695 Mn
0.555 0.250 0.305 Mn
0.945 0.250 0.695 Mn
0.072 0.419 0.491 Si
0.220 0.793 0.013 Si
0.250 0.250 0.000 Si
0.280 0.293 0.574 Si
0.428 0.919 0.346 Si
0.572 0.081 0.654 Si
0.720 0.707 0.426 Si
0.750 0.750 0.000 Si
0.780 0.207 0.987 Si
0.928 0.581 0.509 Si